1.
The following is a PBE calculation of a geometry-optimized Sr2MgBBr structure, from the Alexandria database.

Values from the calculation:
density = 3.2 g cm⁻³
formation energy from raw total energies = -0.34 eV per atom
DFT total energy = -3.00 eV per atom

Lattice parameters (Å, degrees): 5.815 5.815 4.454 90.00 90.00 90.00
Space group P4/mmm (No. 123)
Unique sites:
Sr (0.000, 0.500, 0.000) [2 per cell]
Mg (0.000, 0.000, 0.500) [1 per cell]
B (0.000, 0.000, 0.000) [1 per cell]
Br (0.500, 0.500, 0.500) [1 per cell]


2.
The following is a PBE calculation of a geometry-optimized Mg2TiBBr structure, from the Alexandria database.

Values from the calculation:
density = 2.7 g cm⁻³
formation energy from raw total energies = 1.32 eV per atom
DFT total energy = -2.57 eV per atom

Lattice parameters (Å, degrees): 4.915 4.915 4.688 90.00 90.00 90.00
Space group P4/mmm (No. 123)
Unique sites:
Mg (0.000, 0.500, 0.000) [2 per cell]
Ti (0.000, 0.000, 0.500) [1 per cell]
B (0.500, 0.500, 0.500) [1 per cell]
Br (0.000, 0.000, 0.000) [1 per cell]


3.
The following is a PBE calculation of a geometry-optimized MgBW2Br structure, from the Alexandria database.

Values from the calculation:
density = 7.9 g cm⁻³
formation energy from raw total energies = 2.70 eV per atom
DFT total energy = -4.47 eV per atom

Lattice parameters (Å, degrees): 4.621 4.621 4.736 90.00 90.00 90.00
Space group P4/mmm (No. 123)
Unique sites:
Mg (0.000, 0.000, 0.000) [1 per cell]
B (0.500, 0.500, 0.000) [1 per cell]
W (0.000, 0.500, 0.500) [2 per cell]
Br (0.000, 0.000, 0.500) [1 per cell]


4.
The following is a PBE calculation of a geometry-optimized MgZrBBr2 structure, from the Alexandria database.

Values from the calculation:
density = 2.8 g cm⁻³
formation energy from raw total energies = 0.79 eV per atom
DFT total energy = -3.24 eV per atom

Lattice parameters (Å, degrees): 5.195 5.195 6.213 90.00 90.00 90.00
Space group P4/mmm (No. 123)
Unique sites:
Mg (0.000, 0.000, 0.000) [1 per cell]
Zr (0.000, 0.000, 0.500) [1 per cell]
B (0.500, 0.500, 0.000) [1 per cell]
Br (0.000, 0.500, 0.500) [2 per cell]


What is the formula in the second record? Mg2TiBBr